# 1
Entry from Alexandria via LeMat-Bulk: NiTeAs4 after structural relaxation (PBE).

The value obtained for the formation energy without anion corrections is 0.69 eV per atom. The crystal system is cubic. Its space group is No. 216. As for the calculated total energy: -3.895 eV per atom. For the density of states at the Fermi level, the calculation gives 0.967 states/eV per atom.

```
6
Lattice="0.0000 3.9437 3.9437 3.9437 0.0000 3.9437 3.9437 3.9437 0.0000" Properties=species:S:1:pos:R:3 pbc="T T T"
Ni 0.0000 0.0000 0.0000
Te 5.9155 5.9155 5.9155
As 2.9359 2.9359 2.9359
As 4.9515 4.9515 2.9359
As 4.9515 2.9359 4.9515
As 2.9359 4.9515 4.9515
```

---

# 2
Entry from Alexandria via LeMat-Bulk: BaMgCr2 after structural relaxation (PBE).

The crystal system is tetragonal. Its space group is No. 123. As for the calculated total energy: -4.782 eV per atom. The formation energy comes out at 0.909 eV/atom. For the density of states at the Fermi level, the calculation gives 0.814 states/eV per atom.

```
4
Lattice="5.1994 0.0000 0.0000 0.0000 5.1994 0.0000 0.0000 0.0000 4.0027" Properties=species:S:1:pos:R:3 pbc="T T T"
Ba 0.0000 0.0000 0.0000
Mg 2.5997 2.5997 0.0000
Cr 0.0000 2.5997 2.0013
Cr 2.5997 0.0000 2.0013
```

---

# 3
Entry from Alexandria via LeMat-Bulk: Tl3InSn3S8 after structural relaxation (PBE).

The value obtained for the formation energy without anion corrections is -0.41 eV per atom. The crystal system is triclinic. Its space group is No. 2. As for the calculated total energy: -4.063 eV per atom. For the density of states at the Fermi level, the calculation gives 0.520 states/eV per atom.

```
15
Lattice="7.6882 0.0000 0.0000 3.8238 6.7093 0.0000 3.8227 2.2170 7.6241" Properties=species:S:1:pos:R:3 pbc="T T T"
Tl 0.0000 0.0000 0.0000
Tl 1.9119 3.3547 0.0000
Tl 3.8441 0.0000 0.0000
In 1.9113 1.1085 3.8120
Sn 3.8232 4.4632 3.8120
Sn 5.7554 1.1085 3.8120
Sn 7.6673 4.4632 3.8120
S 5.7389 5.5968 2.3240
S 3.8227 2.2199 2.3304
S 5.7445 3.3442 5.3355
S 7.6503 6.7141 5.2954
S 7.6843 2.2123 2.3287
S 9.5902 5.5822 2.2885
S 11.5119 6.7064 5.2937
S 9.5957 3.3296 5.3001
```

---

# 4
Entry from Alexandria via LeMat-Bulk: Rb2SnHBr6 after structural relaxation (PBE).

The crystal system is tetragonal. Its space group is No. 139. As for the calculated total energy: -2.780 eV per atom. For the density of states at the Fermi level, the calculation gives 0.173 states/eV per atom.

```
10
Lattice="-3.6336 3.6336 5.9908 3.6336 -3.6336 5.9908 3.6336 3.6336 -5.9908" Properties=species:S:1:pos:R:3 pbc="T T T"
Rb 3.6336 0.0000 2.9954
Rb 0.0000 3.6336 2.9954
Sn 0.0000 0.0000 0.0000
H 0.0000 0.0000 5.9908
Br 0.0000 0.0000 2.7421
Br 1.9115 1.9115 0.0000
Br 1.7220 -1.7220 5.9908
Br -1.7220 1.7220 5.9908
Br 1.7220 1.7220 5.9908
Br 0.0000 0.0000 9.2395
```

---

Which value of calculated total energy does entry 4 give?
-2.780 eV per atom